This record from Alexandria via LeMat-Bulk describes crystalline Ta2HOsAu at its relaxed geometry. The functional is PBE.

Values from the calculation:
Electronic total energy: -41.90 eV per formula unit
Symmetry: P4/mmm, No. 123
Theoretical density: 18.16 g cm⁻³

abc: 4.101 4.101 4.077
angles: 90.00 90.00 90.00
Fractional positions:
Ta1 0.000 0.500 0.000
Ta2 0.500 0.000 0.000
H1 0.000 0.000 0.000
Os1 0.000 0.000 0.500
Au1 0.500 0.500 0.500